Here is an optimized crystal structure of MoPSeBr2 from Alexandria. Energies are from PBE.

Cell: 5.303 5.303 4.900 Å, 90.00 90.00 90.00°
Each line ends with the local moment (μB).
Element x y z (fractional)
P (0.500, 0.500, 0.500)  1.08
Mo (0.000, 0.000, 0.000)  1.84
Se (0.000, 0.000, 0.500)  -0.10
Br (0.000, 0.500, 0.000)  0.10
Br (0.500, 0.000, 0.000)  0.10

Calculated values
Total magnetization (μB per formula unit): 4.66
Final energy (eV/f.u.): -20.1
ΔE_f (raw) (meV per atom): 603
Excess energy over the best structure of this formula in the dataset (eV/f.u.): 0.00